(1)
A plane-wave DFT calculation with meta-GGA SCAN was carried out for a PBEsol-optimized structure of Tl2FeAs.

Values from the calculation:
Total magnetization, μB per formula unit: 2.96
ΔE_f, meV per atom: 574
Symmetry: No. 216
Mass density, g/cm3: 10.5

The structure in POSCAR format:
```
Tl2FeAs
1.0
-1.6214 3.5506 3.0261
-4.8242 0.3955 0.9815
-1.7117 -1.1676 4.4833
As Fe Tl
1 1 2
Direct
0.5000 0.5000 0.5000
0.2500 0.2500 0.2500
0.0000 0.0000 0.0000
0.7500 0.7500 0.7500
```


(2)
A plane-wave DFT calculation with meta-GGA SCAN was carried out for a PBEsol-optimized structure of Ta2Zn3O8.

Values from the calculation:
Total magnetization, μB per formula unit: 0.00
Symmetry: No. 15
Mass density, g/cm3: 7.1
Formation energy without anion corrections, eV/atom: -2.40

The structure in POSCAR format:
```
Ta2Zn3O8
1.0
-0.4991 5.9272 -1.4093
-3.4302 -1.1382 -4.9300
-8.9122 2.7972 1.8061
Ta Zn O
4 6 16
Direct
0.2221 0.9384 0.3731
0.0616 0.7779 0.1269
0.7779 0.0616 0.6269
0.9384 0.2221 0.8731
0.7618 0.2382 0.2500
0.2382 0.7618 0.7500
0.3623 0.3211 0.9963
0.6789 0.6377 0.5037
0.6377 0.6789 0.0037
0.3211 0.3623 0.4963
0.5733 0.8203 0.6455
0.1797 0.4267 0.8545
0.4267 0.1797 0.3545
0.8203 0.5733 0.1455
0.4175 0.6896 0.4095
0.3104 0.5825 0.0905
0.5825 0.3104 0.5905
0.6896 0.4175 0.9095
0.2837 0.0161 0.1446
0.9839 0.7163 0.3554
0.1403 0.9383 0.8955
0.0617 0.8597 0.6045
0.8597 0.0617 0.1045
0.9383 0.1403 0.3955
0.0161 0.2837 0.6446
0.7163 0.9839 0.8554
```


(3)
A plane-wave DFT calculation with meta-GGA SCAN was carried out for a PBEsol-optimized structure of MnCdTc2.

Values from the calculation:
Total magnetization, μB per formula unit: 0.00
ΔE_f, meV per atom: 307
Symmetry: No. 166
Mass density, g/cm3: 10.6

The structure in POSCAR format:
```
MnCdTc2
1.0
-2.6331 -0.4169 0.4869
-0.7623 -1.5912 2.0570
-1.2485 6.4426 6.3062
Cd Mn Tc
1 1 2
Direct
0.5000 0.5000 0.5000
0.0000 0.0000 0.0000
0.2602 0.2602 0.2193
0.7398 0.7398 0.7807
```


(4)
A plane-wave DFT calculation with meta-GGA SCAN was carried out for a PBEsol-optimized structure of MgSb2Pb.

Values from the calculation:
Total magnetization, μB per formula unit: 0.00
Symmetry: No. 65
Mass density, g/cm3: 7.6
Formation energy without anion corrections, eV/atom: -0.02

The structure in POSCAR format:
```
MgSb2Pb
1.0
3.3582 0.3248 0.0000
-0.3401 3.3567 0.0000
0.0000 0.0000 9.1155
Pb Sb Mg
1 2 1
Direct
0.5000 0.5000 0.0000
0.0000 0.0000 0.2795
0.0000 0.0000 0.7205
0.5000 0.5000 0.5000
```


| no. | total DFT energy (no corrections) (eV/f.u.) | volume (A^3/atom) |
| --- | --- | --- |
| 1 | -180.74 | 21.30 |
| 2 | -254.77 | 12.27 |
| 3 | -117.56 | 14.26 |
| 4 | -155.37 | 25.94 |